Record 1
# KPaInF6 | Alexandria via LeMat-Bulk | GGA-PBE | relaxed
# * uncorrected formation energy: -3.133 eV per atom
data_KPaInF6
_chemical_formula_sum 'K2 Pa2 In2 F12'
_symmetry_space_group_name_H-M 'P -3 1 c'
_symmetry_Int_Tables_number 163
_symmetry_space_group_name_Hall '-P 3 2c'
_cell_length_a 6.7880
_cell_length_b 6.7880
_cell_length_c 9.7739
_cell_angle_alpha 90.00
_cell_angle_beta 90.00
_cell_angle_gamma 120.00
loop_
_atom_site_label
_atom_site_type_symbol
_atom_site_fract_x
_atom_site_fract_y
_atom_site_fract_z
K1 K 0.3333 0.6667 0.2500
Pa1 Pa 0.3333 0.6667 0.7500
In1 In 0.0000 0.0000 0.0000
F1 F 0.0548 0.3916 0.6306



Record 2
# CrMo2As | Alexandria via LeMat-Bulk | GGA-PBE | relaxed
# * ΔE_f: 0.163 eV/atom
data_CrMo2As
_chemical_formula_sum 'Cr1 Mo2 As1'
_symmetry_space_group_name_H-M 'P m m 2'
_symmetry_Int_Tables_number 25
_cell_length_a 2.9558
_cell_length_b 4.0310
_cell_length_c 4.9882
_cell_angle_alpha 90.00
_cell_angle_beta 90.00
_cell_angle_gamma 90.00
loop_
_symmetry_equiv_pos_as_xyz
'x,y,z'
'-x,-y,z'
'-x,y,z'
'x,-y,z'
loop_
_atom_site_label
_atom_site_type_symbol
_atom_site_fract_x
_atom_site_fract_y
_atom_site_fract_z
Cr1 Cr 0.0000 0.0000 0.0000
Mo1 Mo 0.0000 0.0000 0.5224
Mo2 Mo 0.5000 0.5000 0.2576
As1 As 0.5000 0.5000 0.7654



Record 3
# SrMgZnPd | Alexandria via LeMat-Bulk | GGA-PBE | relaxed
# * ΔE_f: -0.451 eV/atom
data_SrMgZnPd
_chemical_formula_sum 'Sr2 Mg2 Zn2 Pd2'
_symmetry_space_group_name_H-M 'C 1 m 1'
_symmetry_Int_Tables_number 8
_cell_length_a 7.9791
_cell_length_b 4.6186
_cell_length_c 6.0238
_cell_angle_alpha 90.00
_cell_angle_beta 116.45
_cell_angle_gamma 90.00
loop_
_symmetry_equiv_pos_as_xyz
'x,y,z'
'x,-y,z'
'x+1/2,y+1/2,z'
'x+1/2,-y+1/2,z'
loop_
_atom_site_label
_atom_site_type_symbol
_atom_site_fract_x
_atom_site_fract_y
_atom_site_fract_z
Sr1 Sr 0.0000 0.0000 0.0000
Mg1 Mg 0.0114 0.5000 0.5348
Zn1 Zn 0.3034 0.5000 0.4112
Pd1 Pd 0.1904 0.0000 0.5725



Record 4
# LaPm2Pr4Ho2 | Alexandria via LeMat-Bulk | GGA-PBE | relaxed
# * ΔE_f: 0.020 eV/atom
data_LaPm2Pr4Ho2
_chemical_formula_sum 'La2 Pm4 Pr8 Ho4'
_symmetry_space_group_name_H-M 'C 1 2/m 1'
_symmetry_Int_Tables_number 12
_cell_length_a 15.5510
_cell_length_b 5.1874
_cell_length_c 8.1802
_cell_angle_alpha 90.00
_cell_angle_beta 108.42
_cell_angle_gamma 90.00
loop_
_symmetry_equiv_pos_as_xyz
'x,y,z'
'-x,-y,-z'
'-x,y,-z'
'x,-y,z'
'x+1/2,y+1/2,z'
'-x+1/2,-y+1/2,-z'
'-x+1/2,y+1/2,-z'
'x+1/2,-y+1/2,z'
loop_
_atom_site_label
_atom_site_type_symbol
_atom_site_fract_x
_atom_site_fract_y
_atom_site_fract_z
La1 La 0.0000 0.0000 0.0000
Pm1 Pm 0.1117 0.0000 0.6678
Pr1 Pr 0.0551 0.5000 0.3320
Pr2 Pr 0.2225 0.0000 0.3294
Ho1 Ho 0.1688 0.5000 0.9985